Record 1
Here is CuTeBr2 after structural relaxation from Alexandria. Energies are from PBE-GGA.

Values from the calculation:
Size of the total moment in μB per formula unit: 0.00
Calculated density in g/cm³: 5.5
Energy relative to the elements, uncorrected in eV per atom: 0.045

Cell lengths 3.479, 6.775, 9.039 Å; angles 90.00, 90.00, 90.00 degrees
Positions (direct):
Cu (0.000, 0.000, 0.000)
Cu (0.500, 0.500, 0.000)
Te (0.000, 0.000, 0.500)
Te (0.500, 0.500, 0.500)
Br (0.000, 0.500, 0.188)
Br (0.000, 0.500, 0.812)
Br (0.500, 0.000, 0.188)
Br (0.500, 0.000, 0.812)

---

Record 2
Here is Cu2TeBr after structural relaxation from Alexandria. Energies are from PBE-GGA.

Values from the calculation:
Size of the total moment in μB per formula unit: 0.00
Calculated density in g/cm³: 5.0
Energy relative to the elements, uncorrected in eV per atom: 0.156

Cell lengths 3.656, 3.656, 16.594 Å; angles 90.00, 90.00, 90.00 degrees
Positions (direct):
Cu (0.000, 0.000, 0.000)
Cu (0.000, 0.500, 0.250)
Cu (0.500, 0.000, 0.750)
Cu (0.500, 0.500, 0.500)
Te (0.000, 0.500, 0.750)
Te (0.500, 0.000, 0.250)
Br (0.000, 0.000, 0.500)
Br (0.500, 0.500, 0.000)

---

Record 3
Here is CuTeBr2 after structural relaxation from Alexandria. Energies are from PBE-GGA.

Values from the calculation:
Size of the total moment in μB per formula unit: 0.00
Calculated density in g/cm³: 5.3
Energy relative to the elements, uncorrected in eV per atom: 0.174

Cell lengths 6.808, 8.037, 5.237 Å; angles 90.00, 130.35, 90.00 degrees
Positions (direct):
Cu (0.000, 0.000, 0.000)
Cu (0.500, 0.500, 0.000)
Te (0.000, 0.500, 0.000)
Te (0.500, 0.000, 0.000)
Br (0.250, 0.250, 0.500)
Br (0.250, 0.750, 0.500)
Br (0.750, 0.250, 0.500)
Br (0.750, 0.750, 0.500)

---

Record 4
Here is Cu2TeBr after structural relaxation from Alexandria. Energies are from PBE-GGA.

Values from the calculation:
Size of the total moment in μB per formula unit: 0.00
Calculated density in g/cm³: 5.0
Energy relative to the elements, uncorrected in eV per atom: 0.118

Cell lengths 3.463, 7.610, 8.424 Å; angles 90.00, 90.00, 90.00 degrees
Positions (direct):
Cu (0.000, 0.247, 0.000)
Cu (0.000, 0.753, 0.000)
Cu (0.500, 0.253, 0.500)
Cu (0.500, 0.747, 0.500)
Te (0.000, 0.000, 0.500)
Te (0.500, 0.500, 0.000)
Br (0.000, 0.500, 0.500)
Br (0.500, 0.000, 0.000)